No. 1
# PrNiSn

A relaxed structure of PrNiSn (PBE, the Open Quantum Materials Database).

Cell lengths 7.1120, 7.1120, 4.6455 Å; angles 90.00, 90.00, 120.00 degrees
Fractional coordinates of all 9 atoms:
Sn 0.6667 0.3333 0.0000
Sn 0.0000 0.0000 0.5000
Sn 0.3333 0.6667 0.0000
Pr 0.4420 0.4420 0.5000
Pr 0.0000 0.5580 0.5000
Pr 0.5580 0.0000 0.5000
Ni 0.7783 0.7783 0.0000
Ni 0.2217 0.0000 0.0000
Ni 0.0000 0.2217 0.0000

Calculated values
* energy: -5.208 eV/atom

No. 2
# Pr2NiSn

A relaxed structure of Pr2NiSn (PBE, the Open Quantum Materials Database).

Cell lengths 4.4221, 6.1206, 6.1206 Å; angles 40.55, 90.00, 90.00 degrees
Fractional coordinates of all 4 atoms:
Ni 0.0000 0.4215 0.4215
Pr 0.5000 0.8615 0.8615
Pr 0.0000 0.1460 0.1460
Sn 0.5000 0.5710 0.5710

Calculated values
* energy relative to the lowest polymorph listed for this composition: 0 meV/atom